P.
A plane-wave DFT calculation with PBE was carried out for LiTbPm2 after structural relaxation.

As for the magnetic moment: 0.0 Bohr magnetons per cell.

It has space group Fm-3m (No. 225), with a = 7.882 Å, b = 7.882 Å, c = 7.882 Å, α = 90.00°, β = 90.00° and γ = 90.00°. The asymmetric unit holds Li at (0.000, 0.000, 0.000), Tb at (0.000, 0.000, 0.500) and Pm at (0.250, 0.250, 0.250).

=====

Q.
A plane-wave DFT calculation with PBE was carried out for LiTbPm2 after structural relaxation.

As for the magnetic moment: 0.0 Bohr magnetons per cell.

It has space group P3m1 (No. 156), with a = 3.5381 Å, b = 3.5381 Å, c = 11.8752 Å, α = 90.00°, β = 90.00° and γ = 120.00°. The asymmetric unit holds Li at (0.0000, 0.0000, 0.0000), Tb at (0.3333, 0.6667, 0.4847), Pm at (0.0000, 0.0000, 0.7263) and Pm at (0.6667, 0.3333, 0.2386).

=====

R.
A plane-wave DFT calculation with PBE was carried out for LiTbPm2 after structural relaxation.

As for the magnetic moment: 0.0 Bohr magnetons per cell.

It has space group P4/mmm (No. 123), with a = 3.644 Å, b = 3.644 Å, c = 9.132 Å, α = 90.00°, β = 90.00° and γ = 90.00°. The asymmetric unit holds Li at (0.000, 0.000, 0.000), Tb at (0.000, 0.000, 0.500) and Pm at (0.500, 0.500, 0.228).

=====

S.
A plane-wave DFT calculation with PBE was carried out for LiTbPm2 after structural relaxation.

As for the magnetic moment: 0.0 Bohr magnetons per cell.

It has space group R3m (No. 160, hexagonal axes), with a = 3.5590 Å, b = 3.5590 Å, c = 34.2594 Å, α = 90.00°, β = 90.00° and γ = 120.00°. The asymmetric unit holds Li at (0.0000, 0.0000, 0.0000), Tb at (0.0000, 0.0000, 0.8332), Pm at (0.0000, 0.0000, 0.2514) and Pm at (0.0000, 0.0000, 0.4153).

=====

Most stable to least stable, the ends of the list are R and P.